Ta2HgSb: optimized geometry, PBE-GGA.

```
4
Lattice="-1.3969 -1.4252 4.5695 -3.6701 -3.1619 -1.1813 4.6482 -0.1211 -1.8008" Properties=species:S:1:pos:R:3 pbc="T T T"
Hg -0.7777 -2.7883 -0.6440
Sb 0.3589 -1.9199 2.2314
Ta -2.5335 -2.2936 1.6941
Ta 0.0000 0.0000 0.0000
```

space-group type	I4/mmm (139)
E above lowest polymorph	5.71	kcal/mol of atoms
electronic total energy	-0.2421	hartree per atom
formation energy from raw total energies	0.45	eV per atom